No. 1
# CsCoPb2Cl8 PBE relaxed
# - total magnetization (Bohr magnetons per cell) = 0.2
# - ΔE_f (raw) (meV/atom) = -1116
# - VASP energy (eV per atom) = -3.6289
data_CsCoPb2Cl8
_chemical_formula_sum 'Cs1 Co1 Pb2 Cl8'
_symmetry_space_group_name_H-M 'P -1'
_symmetry_Int_Tables_number 2
_symmetry_space_group_name_Hall '-P 1'
_cell_length_a 6.618
_cell_length_b 7.333
_cell_length_c 8.231
_cell_angle_alpha 71.94
_cell_angle_beta 89.13
_cell_angle_gamma 89.34
loop_
_atom_site_label
_atom_site_type_symbol
_atom_site_fract_x
_atom_site_fract_y
_atom_site_fract_z
_atom_site_occupancy
Cs1 Cs 0.000 0.000 0.000 1
Co1 Co 0.000 0.500 0.500 1
Pb1 Pb 0.473 0.476 0.262 1
Cl1 Cl 0.033 0.458 0.237 1
Cl2 Cl 0.238 0.732 0.423 1
Cl3 Cl 0.242 0.275 0.602 1
Cl4 Cl 0.493 0.769 0.950 1

***

No. 2
# EuTmPt2 PBE relaxed
# - total magnetization (Bohr magnetons per cell) = 20.8
# - VASP energy (eV per atom) = -7.6884
data_EuTmPt2
_chemical_formula_sum 'Eu3 Tm3 Pt6'
_symmetry_space_group_name_H-M 'R -3 m'
_symmetry_Int_Tables_number 166
_symmetry_space_group_name_Hall '-R 3 2"'
_cell_length_a 4.1278
_cell_length_b 4.1278
_cell_length_c 20.0787
_cell_angle_alpha 90.00
_cell_angle_beta 90.00
_cell_angle_gamma 120.00
loop_
_atom_site_label
_atom_site_type_symbol
_atom_site_fract_x
_atom_site_fract_y
_atom_site_fract_z
_atom_site_occupancy
Eu1 Eu 0.0000 0.0000 0.0000 1
Tm1 Tm 0.0000 0.0000 0.5000 1
Pt1 Pt 0.0000 0.0000 0.2417 1